No. 1
First-principles (PBE) data for crystalline NiI2Br at its relaxed geometry, as listed in the Alexandria database.

Values from the calculation:
Magnetic moment (μB per atom): 0.00
V (Å³/cell): 541
Polymorph energy (0 for the lowest one) (eV per atom): 0.195
ΔE_f (raw) (meV per atom): 138

a b c (Å): 7.323 7.323 10.082
angles (deg): 90.00 90.00 90.00
Space group I-42d (No. 122)
Inequivalent atoms, fractional coordinates:
Ni  0.000  0.000  0.000 x4
I  0.150  0.250  0.125 x8
Br  0.000  0.000  0.500 x4

---

No. 2
First-principles (PBE) data for crystalline Ni2IBr at its relaxed geometry, as listed in the Alexandria database.

Values from the calculation:
Magnetic moment (μB per atom): 0.50
V (Å³/cell): 305
Polymorph energy (0 for the lowest one) (eV per atom): 0.528
ΔE_f (raw) (meV per atom): 661

a b c (Å): 6.730 6.730 6.730
angles (deg): 90.00 90.00 90.00
Space group Fm-3m (No. 225)
Inequivalent atoms, fractional coordinates:
Ni  0.250  0.250  0.250 x8
I  0.000  0.000  0.000 x4
Br  0.000  0.000  0.500 x4

---

ΔE_f (raw) of number 1 (NiI2Br)?
138 meV per atom

---

Which of these has the lowest V?
Ni2IBr

---

Among the records above, which one has the highest magnetic moment?
Ni2IBr

---

Which formula does entry 1 have?
NiI2Br